## P
{"formula": "Er2AuSe3", "functional": "PBE", "state": "relaxed", "volume_a3_per_cell": 559.8, "crystal_system": "orthorhombic", "density_g_cm3": 9.12, "lattice": [[-3.824, -6.247, -2.105], [3.056, -2.212, 1.014], [-6.942, -1.612, 17.398]], "species": ["Au", "Au", "Au", "Au", "Se", "Se", "Se", "Se", "Se", "Se", "Se", "Se", "Se", "Se", "Se", "Se", "Er", "Er", "Er", "Er", "Er", "Er", "Er", "Er"], "frac_coords": [[0.565, 0.250, 0.898], [0.435, 0.750, 0.102], [0.065, 0.250, 0.602], [0.935, 0.750, 0.398], [0.804, 0.750, 0.262], [0.696, 0.250, 0.762], [0.809, 0.750, 0.605], [0.196, 0.250, 0.738], [0.052, 0.750, 0.082], [0.691, 0.250, 0.105], [0.448, 0.250, 0.582], [0.552, 0.750, 0.418], [0.948, 0.250, 0.918], [0.304, 0.750, 0.238], [0.309, 0.750, 0.895], [0.191, 0.250, 0.395], [0.529, 0.250, 0.304], [0.471, 0.750, 0.696], [0.029, 0.250, 0.196], [0.226, 0.750, 0.503], [0.971, 0.750, 0.804], [0.726, 0.750, 0.997], [0.274, 0.250, 0.003], [0.774, 0.250, 0.497]]}

=====

## Q
{"formula": "Er2AuSe3", "functional": "PBE", "state": "relaxed", "volume_a3_per_cell": 544.3, "crystal_system": "orthorhombic", "density_g_cm3": 9.38, "lattice": [[-3.898, -7.956, 4.988], [3.256, -0.324, 2.027], [-5.156, 8.578, 9.654]], "species": ["Er", "Er", "Er", "Er", "Er", "Er", "Er", "Er", "Au", "Au", "Au", "Au", "Se", "Se", "Se", "Se", "Se", "Se", "Se", "Se", "Se", "Se", "Se", "Se"], "frac_coords": [[0.269, 0.750, 0.026], [0.231, 0.250, 0.526], [0.986, 0.250, 0.753], [0.486, 0.250, 0.747], [0.769, 0.750, 0.474], [0.731, 0.250, 0.974], [0.514, 0.750, 0.253], [0.014, 0.750, 0.247], [0.762, 0.250, 0.275], [0.738, 0.750, 0.775], [0.262, 0.250, 0.225], [0.238, 0.750, 0.725], [0.466, 0.250, 0.098], [0.966, 0.250, 0.402], [0.930, 0.750, 0.905], [0.070, 0.250, 0.095], [0.430, 0.750, 0.595], [0.265, 0.750, 0.370], [0.235, 0.250, 0.870], [0.735, 0.250, 0.630], [0.034, 0.750, 0.598], [0.570, 0.250, 0.405], [0.765, 0.750, 0.130], [0.534, 0.750, 0.902]]}

=====

The most stable of them is P.

=====

## P
{"formula": "TbErAu", "functional": "PBE", "state": "relaxed", "volume_a3_per_cell": 311.1, "crystal_system": "orthorhombic", "density_g_cm3": 11.17, "lattice": [[7.103, 0.000, 0.000], [0.000, 4.934, 0.000], [0.000, 0.000, 8.878]], "species": ["Er", "Er", "Er", "Er", "Tb", "Tb", "Tb", "Tb", "Au", "Au", "Au", "Au"], "frac_coords": [[0.149, 0.750, 0.581], [0.649, 0.750, 0.919], [0.851, 0.250, 0.419], [0.351, 0.250, 0.081], [0.987, 0.250, 0.823], [0.513, 0.750, 0.323], [0.013, 0.750, 0.177], [0.487, 0.250, 0.677], [0.245, 0.750, 0.901], [0.255, 0.250, 0.401], [0.755, 0.250, 0.099], [0.745, 0.750, 0.599]]}

=====

## Q
{"formula": "TbErAu", "functional": "PBE", "state": "relaxed", "volume_a3_per_cell": 84.5, "crystal_system": "cubic", "density_g_cm3": 10.28, "lattice": [[0.000, 3.483, 3.483], [3.483, 0.000, 3.483], [3.483, 3.483, 0.000]], "species": ["Tb", "Er", "Au"], "frac_coords": [[0.750, 0.750, 0.750], [0.250, 0.250, 0.250], [0.000, 0.000, 0.000]]}

=====

The most stable of them is P.

=====

## P
{"formula": "Er2Te3Au", "functional": "PBE", "state": "relaxed", "volume_a3_per_cell": 646.4, "crystal_system": "orthorhombic", "density_g_cm3": 9.40, "lattice": [[10.745, 0.000, 0.000], [0.000, 4.073, 0.000], [0.000, 0.000, 14.769]], "species": ["Er", "Er", "Er", "Er", "Er", "Er", "Er", "Er", "Te", "Te", "Te", "Te", "Te", "Te", "Te", "Te", "Te", "Te", "Te", "Te", "Au", "Au", "Au", "Au"], "frac_coords": [[0.764, 0.250, 0.032], [0.487, 0.750, 0.752], [0.236, 0.750, 0.968], [0.987, 0.750, 0.748], [0.013, 0.250, 0.252], [0.736, 0.750, 0.532], [0.513, 0.250, 0.248], [0.264, 0.250, 0.468], [0.563, 0.750, 0.095], [0.238, 0.750, 0.634], [0.463, 0.750, 0.402], [0.437, 0.250, 0.905], [0.937, 0.250, 0.595], [0.537, 0.250, 0.598], [0.063, 0.750, 0.405], [0.762, 0.250, 0.366], [0.262, 0.250, 0.134], [0.963, 0.750, 0.098], [0.037, 0.250, 0.902], [0.738, 0.750, 0.866], [0.258, 0.750, 0.277], [0.758, 0.750, 0.223], [0.242, 0.250, 0.777], [0.742, 0.250, 0.723]]}

=====

## Q
{"formula": "Er2Te3Au", "functional": "PBE", "state": "relaxed", "volume_a3_per_cell": 668.5, "crystal_system": "orthorhombic", "density_g_cm3": 9.08, "lattice": [[8.115, 0.000, 0.000], [0.000, 4.160, 0.000], [0.000, 0.000, 19.805]], "species": ["Te", "Te", "Te", "Te", "Te", "Te", "Te", "Te", "Te", "Te", "Te", "Te", "Er", "Er", "Er", "Er", "Er", "Er", "Er", "Er", "Au", "Au", "Au", "Au"], "frac_coords": [[0.324, 0.250, 0.608], [0.176, 0.750, 0.108], [0.831, 0.250, 0.234], [0.951, 0.750, 0.581], [0.169, 0.750, 0.766], [0.676, 0.750, 0.392], [0.451, 0.750, 0.919], [0.049, 0.250, 0.419], [0.824, 0.250, 0.892], [0.549, 0.250, 0.081], [0.331, 0.250, 0.266], [0.669, 0.750, 0.734], [0.560, 0.750, 0.198], [0.207, 0.250, 0.995], [0.440, 0.250, 0.802], [0.707, 0.250, 0.505], [0.293, 0.750, 0.495], [0.060, 0.750, 0.302], [0.940, 0.250, 0.698], [0.793, 0.750, 0.005], [0.068, 0.750, 0.906], [0.568, 0.750, 0.594], [0.932, 0.250, 0.094], [0.432, 0.250, 0.406]]}

=====

The most stable of them is Q.

=====

## P
{"formula": "PtAuF6", "functional": "PBE", "state": "relaxed", "volume_a3_per_cell": 95.3, "crystal_system": "trigonal", "density_g_cm3": 8.82, "lattice": [[3.445, 1.989, 2.317], [-3.445, 1.989, 2.317], [0.000, -3.978, 2.317]], "species": ["Au", "F", "F", "F", "F", "F", "F", "Pt"], "frac_coords": [[0.500, 0.500, 0.500], [0.929, 0.302, 0.302], [0.698, 0.698, 0.071], [0.302, 0.929, 0.302], [0.698, 0.071, 0.698], [0.302, 0.302, 0.929], [0.071, 0.698, 0.698], [0.000, 0.000, 0.000]]}

=====

## Q
{"formula": "PtAuF6", "functional": "PBE", "state": "relaxed", "volume_a3_per_cell": 95.8, "crystal_system": "trigonal", "density_g_cm3": 8.77, "lattice": [[2.465, 1.423, 4.550], [-2.465, 1.423, 4.550], [0.000, -2.847, 4.550]], "species": ["F", "F", "F", "F", "F", "F", "Au", "Pt"], "frac_coords": [[0.568, 0.978, 0.214], [0.432, 0.022, 0.786], [0.786, 0.432, 0.022], [0.022, 0.786, 0.432], [0.214, 0.568, 0.978], [0.978, 0.214, 0.568], [0.500, 0.500, 0.500], [0.000, 0.000, 0.000]]}

=====

The most stable of them is Q.

=====

## P
{"formula": "GaFeMoAu", "functional": "PBE", "state": "relaxed", "volume_a3_per_cell": 61.5, "crystal_system": "cubic", "density_g_cm3": 11.30, "lattice": [[0.000, 3.133, 3.133], [3.133, 0.000, 3.133], [3.133, 3.133, 0.000]], "species": ["Fe", "Au", "Ga", "Mo"], "frac_coords": [[0.750, 0.750, 0.750], [0.250, 0.250, 0.250], [0.000, 0.000, 0.000], [0.500, 0.500, 0.500]]}

=====

## Q
{"formula": "GaFeMoAu", "functional": "PBE", "state": "relaxed", "volume_a3_per_cell": 60.8, "crystal_system": "cubic", "density_g_cm3": 11.42, "lattice": [[0.000, 3.122, 3.122], [3.122, 0.000, 3.122], [3.122, 3.122, 0.000]], "species": ["Mo", "Fe", "Ga", "Au"], "frac_coords": [[0.250, 0.250, 0.250], [0.750, 0.750, 0.750], [0.000, 0.000, 0.000], [0.500, 0.500, 0.500]]}

=====

The most stable of them is Q.

=====

## P
{"formula": "HfFeGeAu", "functional": "PBE", "state": "relaxed", "volume_a3_per_cell": 67.2, "crystal_system": "cubic", "density_g_cm3": 12.45, "lattice": [[0.000, 3.227, 3.227], [3.227, 0.000, 3.227], [3.227, 3.227, 0.000]], "species": ["Hf", "Ge", "Fe", "Au"], "frac_coords": [[0.250, 0.250, 0.250], [0.000, 0.000, 0.000], [0.750, 0.750, 0.750], [0.500, 0.500, 0.500]]}

=====

## Q
{"formula": "HfFeGeAu", "functional": "PBE", "state": "relaxed", "volume_a3_per_cell": 66.5, "crystal_system": "cubic", "density_g_cm3": 12.58, "lattice": [[2.750, -0.194, 3.617], [2.096, 3.760, 1.468], [-1.263, 1.924, 3.923]], "species": ["Hf", "Au", "Fe", "Ge"], "frac_coords": [[0.500, 0.500, 0.500], [0.250, 0.250, 0.250], [0.750, 0.750, 0.750], [0.000, 0.000, 0.000]]}

=====

The most stable of them is P.

=====

## P
{"formula": "LuFeGeAu", "functional": "PBE", "state": "relaxed", "volume_a3_per_cell": 72.3, "crystal_system": "cubic", "density_g_cm3": 11.50, "lattice": [[-0.798, -4.114, 2.074], [-3.809, -2.476, -1.106], [0.417, -3.968, -2.439]], "species": ["Ge", "Lu", "Fe", "Au"], "frac_coords": [[0.000, 0.000, 0.000], [0.250, 0.250, 0.250], [0.750, 0.750, 0.750], [0.500, 0.500, 0.500]]}

=====

## Q
{"formula": "LuFeGeAu", "functional": "PBE", "state": "relaxed", "volume_a3_per_cell": 70.6, "crystal_system": "cubic", "density_g_cm3": 11.78, "lattice": [[0.000, 3.280, 3.280], [3.280, 0.000, 3.280], [3.280, 3.280, 0.000]], "species": ["Au", "Fe", "Lu", "Ge"], "frac_coords": [[0.250, 0.250, 0.250], [0.750, 0.750, 0.750], [0.500, 0.500, 0.500], [0.000, 0.000, 0.000]]}

=====

The most stable of them is P.

=====

## P
{"formula": "FeReGeAu", "functional": "PBE", "state": "relaxed", "volume_a3_per_cell": 59.7, "crystal_system": "cubic", "density_g_cm3": 14.24, "lattice": [[0.000, 3.102, 3.102], [3.102, 0.000, 3.102], [3.102, 3.102, 0.000]], "species": ["Fe", "Ge", "Re", "Au"], "frac_coords": [[0.750, 0.750, 0.750], [0.000, 0.000, 0.000], [0.250, 0.250, 0.250], [0.500, 0.500, 0.500]]}

=====

## Q
{"formula": "FeReGeAu", "functional": "PBE", "state": "relaxed", "volume_a3_per_cell": 61.0, "crystal_system": "cubic", "density_g_cm3": 13.92, "lattice": [[-0.921, -3.940, 1.777], [-0.076, -0.479, 4.392], [-3.843, -0.638, 2.087]], "species": ["Ge", "Au", "Fe", "Re"], "frac_coords": [[0.000, 0.000, 0.000], [0.250, 0.250, 0.250], [0.750, 0.750, 0.750], [0.500, 0.500, 0.500]]}

=====

The most stable of them is P.

=====

## P
{"formula": "TaFeGeAu", "functional": "PBE", "state": "relaxed", "volume_a3_per_cell": 64.1, "crystal_system": "cubic", "density_g_cm3": 13.12, "lattice": [[-2.891, 2.832, 1.950], [-2.070, 3.141, -2.456], [-4.398, -0.346, -0.844]], "species": ["Fe", "Ta", "Ge", "Au"], "frac_coords": [[0.750, 0.750, 0.750], [0.500, 0.500, 0.500], [0.000, 0.000, 0.000], [0.250, 0.250, 0.250]]}

=====

## Q
{"formula": "TaFeGeAu", "functional": "PBE", "state": "relaxed", "volume_a3_per_cell": 63.5, "crystal_system": "cubic", "density_g_cm3": 13.25, "lattice": [[-4.346, 1.069, -0.143], [-1.957, 0.899, -3.926], [-2.957, -2.878, -1.739]], "species": ["Fe", "Au", "Ge", "Ta"], "frac_coords": [[0.750, 0.750, 0.750], [0.500, 0.500, 0.500], [0.000, 0.000, 0.000], [0.250, 0.250, 0.250]]}

=====

The most stable of them is Q.

=====

## P
{"formula": "FeGeWAu", "functional": "PBE", "state": "relaxed", "volume_a3_per_cell": 60.9, "crystal_system": "cubic", "density_g_cm3": 13.89, "lattice": [[0.000, 3.122, 3.122], [3.122, 0.000, 3.122], [3.122, 3.122, 0.000]], "species": ["Ge", "Au", "Fe", "W"], "frac_coords": [[0.000, 0.000, 0.000], [0.500, 0.500, 0.500], [0.750, 0.750, 0.750], [0.250, 0.250, 0.250]]}

=====

## Q
{"formula": "FeGeWAu", "functional": "PBE", "state": "relaxed", "volume_a3_per_cell": 62.6, "crystal_system": "cubic", "density_g_cm3": 13.52, "lattice": [[0.000, 3.151, 3.151], [3.151, 0.000, 3.151], [3.151, 3.151, 0.000]], "species": ["Au", "Ge", "Fe", "W"], "frac_coords": [[0.250, 0.250, 0.250], [0.000, 0.000, 0.000], [0.750, 0.750, 0.750], [0.500, 0.500, 0.500]]}

=====

The most stable of them is P.

=====

## P
{"formula": "ZrFeGeAu", "functional": "PBE", "state": "relaxed", "volume_a3_per_cell": 68.4, "crystal_system": "cubic", "density_g_cm3": 10.11, "lattice": [[-2.502, -3.293, 1.994], [-4.268, 0.907, 1.427], [-3.593, -1.810, -2.212]], "species": ["Zr", "Au", "Fe", "Ge"], "frac_coords": [[0.250, 0.250, 0.250], [0.500, 0.500, 0.500], [0.750, 0.750, 0.750], [0.000, 0.000, 0.000]]}

=====

## Q
{"formula": "ZrFeGeAu", "functional": "PBE", "state": "relaxed", "volume_a3_per_cell": 68.3, "crystal_system": "cubic", "density_g_cm3": 10.13, "lattice": [[-4.437, 0.957, 0.666], [-2.237, 2.689, -2.969], [-3.176, -1.798, -2.780]], "species": ["Ge", "Au", "Zr", "Fe"], "frac_coords": [[0.000, 0.000, 0.000], [0.250, 0.250, 0.250], [0.500, 0.500, 0.500], [0.750, 0.750, 0.750]]}

=====

The most stable of them is P.

=====

## P
{"formula": "HfFeSiAu", "functional": "PBE", "state": "relaxed", "volume_a3_per_cell": 64.7, "crystal_system": "cubic", "density_g_cm3": 11.78, "lattice": [[0.000, 3.187, 3.187], [3.187, 0.000, 3.187], [3.187, 3.187, 0.000]], "species": ["Fe", "Au", "Si", "Hf"], "frac_coords": [[0.750, 0.750, 0.750], [0.500, 0.500, 0.500], [0.000, 0.000, 0.000], [0.250, 0.250, 0.250]]}

=====

## Q
{"formula": "HfFeSiAu", "functional": "PBE", "state": "relaxed", "volume_a3_per_cell": 63.5, "crystal_system": "cubic", "density_g_cm3": 12.01, "lattice": [[-2.051, -3.461, 1.967], [-2.978, 0.723, 3.265], [-4.355, -0.736, -0.739]], "species": ["Fe", "Au", "Hf", "Si"], "frac_coords": [[0.750, 0.750, 0.750], [0.250, 0.250, 0.250], [0.500, 0.500, 0.500], [0.000, 0.000, 0.000]]}

=====

The most stable of them is P.